# 1
Crystalline NaZn2SnIr at its relaxed geometry, computed with PBE.

## Properties
The value obtained for the energy of formation from the pure elements is -0.5 eV per formula unit. As for the space-group type: P4/mmm.

```
NaZn2SnIr
1.0
4.946 0.000 0.000
0.000 4.946 0.000
0.000 0.000 5.012
Na Zn Sn Ir
1 2 1 1
Cartesian
0.000 0.000 0.000
0.000 2.473 2.506
2.473 0.000 2.506
2.473 2.473 0.000
2.473 2.473 2.506
```

***

# 2
Crystalline VAgS2 at its relaxed geometry, computed with PBE.

## Properties
Its uncorrected formation energy is -15.8 kcal/mol of atoms. As for the space-group type: C2.

```
VAgS2
1.0
1.606 -2.781 0.000
1.606 2.781 0.000
-0.013 0.000 7.750
V Ag S
1 1 2
Cartesian
0.000 0.000 0.000
1.599 0.927 3.875
1.592 0.926 6.309
1.606 0.926 1.441
```

***

# 3
Crystalline Pm3NdHo2Te6 at its relaxed geometry, computed with PBE.

## Properties
Its uncorrected formation energy is -31.3 kcal/mol of atoms. As for the space-group type: C2/m.

```
Pm3NdHo2Te6
1.0
9.657 -2.197 0.000
9.657 2.197 0.000
-2.052 0.000 8.686
Pm Nd Ho Te
3 1 2 6
Cartesian
0.000 0.000 0.000
5.179 0.000 5.794
12.083 0.000 2.892
-1.026 0.000 4.343
6.126 0.000 1.474
11.135 0.000 7.212
3.127 0.000 0.675
2.068 0.000 5.148
9.065 0.000 2.136
8.197 0.000 6.550
15.194 0.000 3.538
14.135 0.000 8.011
```

***

# 4
Crystalline RbMn2Nb at its relaxed geometry, computed with PBE.

## Properties
The value obtained for the energy of formation from the pure elements is 5.3 eV per formula unit. As for the space-group type: I4_1/amd.

```
RbMn2Nb
1.0
-2.749 2.749 8.235
2.749 -2.749 8.235
2.749 2.749 -8.235
Rb Mn Nb
2 4 2
Cartesian
2.749 1.374 2.059
0.000 1.374 6.176
0.000 0.000 0.000
1.374 1.374 -4.117
1.374 -1.374 4.117
0.000 2.749 0.000
2.749 -1.374 6.176
0.000 4.123 2.059
```

***

# 5
Crystalline SrNd3Tc at its relaxed geometry, computed with PBE.

## Properties
The value obtained for the energy of formation from the pure elements is 0.6 eV per formula unit. As for the space-group type: Pm-3m.

```
SrNd3Tc
1.0
5.633 0.000 0.000
0.000 5.633 0.000
0.000 0.000 5.633
Sr Nd Tc
1 3 1
Cartesian
0.000 0.000 0.000
0.000 2.816 2.816
2.816 0.000 2.816
2.816 2.816 0.000
2.816 2.816 2.816
```

***

# 6
Crystalline Cd2AgHg2 at its relaxed geometry, computed with PBE.

## Properties
The value obtained for the energy of formation from the pure elements is 0.5 eV per formula unit. As for the space-group type: P4/mbm.

```
Cd2AgHg2
1.0
7.759 0.000 0.000
0.000 7.759 0.000
0.000 0.000 3.904
Cd Ag Hg
4 2 4
Cartesian
1.176 2.704 0.000
2.704 6.583 0.000
5.055 1.176 0.000
6.583 5.055 0.000
0.000 0.000 1.952
3.879 3.879 1.952
1.177 5.056 1.952
2.703 1.177 1.952
5.056 6.582 1.952
6.582 2.703 1.952
```

***

Results for theoretical density: 6.294 5.349 7.544 3.846 5.745 10.370 (in g cm⁻³, following the order of the records).